# Pr4YHo2Tm2 PBE optimized geometry
data_Pr4YHo2Tm2
_chemical_formula_sum 'Pr4 Y1 Ho2 Tm2'
_symmetry_space_group_name_H-M 'P 1'
_symmetry_Int_Tables_number 1
_cell_length_a 5.096
_cell_length_b 8.078
_cell_length_c 8.064
_cell_angle_alpha 107.42
_cell_angle_beta 90.00
_cell_angle_gamma 108.39
loop_
_symmetry_equiv_pos_as_xyz
'x,y,z'
loop_
_atom_site_label
_atom_site_fract_x
_atom_site_fract_y
_atom_site_fract_z
Pr1 0.223 0.447 0.331
Pr2 0.777 0.553 0.669
Pr3 0.553 0.107 0.331
Pr4 0.447 0.893 0.669
Tm1 0.668 0.336 0.999
Tm2 0.332 0.664 0.001
Ho1 0.112 0.223 0.670
Ho2 0.888 0.777 0.330
Y1 0.000 0.000 0.000
# ΔH_f (0 K) ... 0.23 eV per formula unit
# VASP energy ... -4.828 eV per atom
# Total moment ... 0.000 μB/atom
# Density ... 7.33 g/cm3


# Pr2YHoTm5 PBE optimized geometry
data_Pr2YHoTm5
_chemical_formula_sum 'Pr4 Y2 Ho2 Tm10'
_symmetry_space_group_name_H-M 'P 1'
_symmetry_Int_Tables_number 1
_cell_length_a 8.588
_cell_length_b 8.588
_cell_length_c 9.886
_cell_angle_alpha 115.74
_cell_angle_beta 115.74
_cell_angle_gamma 90.00
loop_
_symmetry_equiv_pos_as_xyz
'x,y,z'
loop_
_atom_site_label
_atom_site_fract_x
_atom_site_fract_y
_atom_site_fract_z
Tm1 0.646 0.146 0.718
Tm2 0.354 0.854 0.282
Tm3 0.928 0.428 0.282
Tm4 0.500 0.500 0.000
Tm5 0.428 0.354 0.282
Tm6 0.146 0.072 0.718
Tm7 0.000 0.000 0.000
Tm8 0.572 0.646 0.718
Tm9 0.854 0.928 0.282
Tm10 0.072 0.572 0.718
Y1 0.250 0.250 0.500
Y2 0.750 0.750 0.500
Pr1 0.118 0.382 0.000
Pr2 0.882 0.618 0.000
Pr3 0.618 0.118 0.000
Pr4 0.382 0.882 0.000
Ho1 0.250 0.750 0.500
Ho2 0.750 0.250 0.500
# ΔH_f (0 K) ... 2.43 eV per formula unit
# VASP energy ... -4.503 eV per atom
# Total moment ... 0.000 μB/atom
# Density ... 7.97 g/cm3


# Pr6Y3HoTm2 PBE optimized geometry
data_Pr6Y3HoTm2
_chemical_formula_sum 'Pr6 Y3 Ho1 Tm2'
_symmetry_space_group_name_H-M 'P 1'
_symmetry_Int_Tables_number 1
_cell_length_a 6.302
_cell_length_b 6.302
_cell_length_c 11.863
_cell_angle_alpha 95.07
_cell_angle_beta 95.07
_cell_angle_gamma 119.99
loop_
_symmetry_equiv_pos_as_xyz
'x,y,z'
loop_
_atom_site_label
_atom_site_fract_x
_atom_site_fract_y
_atom_site_fract_z
Y1 0.167 0.833 0.500
Y2 0.500 0.500 0.500
Y3 0.833 0.167 0.500
Tm1 0.333 0.667 0.000
Tm2 0.667 0.333 0.000
Ho1 0.000 0.000 0.000
Pr1 0.417 0.083 0.248
Pr2 0.583 0.917 0.752
Pr3 0.917 0.583 0.752
Pr4 0.083 0.417 0.248
Pr5 0.749 0.749 0.248
Pr6 0.251 0.251 0.752
# ΔH_f (0 K) ... 0.13 eV per formula unit
# VASP energy ... -5.121 eV per atom
# Total moment ... 0.000 μB/atom
# Density ... 6.68 g/cm3


# Pr2Y3HoTm6 PBE optimized geometry
data_Pr2Y3HoTm6
_chemical_formula_sum 'Pr2 Y3 Ho1 Tm6'
_symmetry_space_group_name_H-M 'P 1'
_symmetry_Int_Tables_number 1
_cell_length_a 6.152
_cell_length_b 6.152
_cell_length_c 11.735
_cell_angle_alpha 95.01
_cell_angle_beta 95.01
_cell_angle_gamma 119.95
loop_
_symmetry_equiv_pos_as_xyz
'x,y,z'
loop_
_atom_site_label
_atom_site_fract_x
_atom_site_fract_y
_atom_site_fract_z
Tm1 0.248 0.248 0.748
Tm2 0.583 0.916 0.748
Tm3 0.417 0.084 0.252
Tm4 0.084 0.417 0.252
Tm5 0.916 0.583 0.748
Tm6 0.752 0.752 0.252
Pr1 0.333 0.667 0.000
Pr2 0.667 0.333 0.000
Y1 0.500 0.500 0.500
Y2 0.166 0.834 0.500
Y3 0.834 0.166 0.500
Ho1 0.000 0.000 0.000
# ΔH_f (0 K) ... 0.31 eV per formula unit
# VASP energy ... -5.004 eV per atom
# Total moment ... 0.000 μB/atom
# Density ... 7.57 g/cm3


# Pr3Y6HoTm2 PBE optimized geometry
data_Pr3Y6HoTm2
_chemical_formula_sum 'Pr3 Y6 Ho1 Tm2'
_symmetry_space_group_name_H-M 'P 1'
_symmetry_Int_Tables_number 1
_cell_length_a 6.226
_cell_length_b 6.226
_cell_length_c 11.865
_cell_angle_alpha 95.01
_cell_angle_beta 95.01
_cell_angle_gamma 119.97
loop_
_symmetry_equiv_pos_as_xyz
'x,y,z'
loop_
_atom_site_label
_atom_site_fract_x
_atom_site_fract_y
_atom_site_fract_z
Y1 0.082 0.415 0.245
Y2 0.252 0.252 0.755
Y3 0.585 0.918 0.755
Y4 0.748 0.748 0.245
Y5 0.918 0.585 0.755
Y6 0.415 0.082 0.245
Pr1 0.167 0.833 0.500
Pr2 0.500 0.500 0.500
Pr3 0.833 0.167 0.500
Tm1 0.667 0.333 0.000
Tm2 0.333 0.667 0.000
Ho1 0.000 0.000 0.000
# ΔH_f (0 K) ... 0.27 eV per formula unit
# VASP energy ... -5.531 eV per atom
# Total moment ... 0.000 μB/atom
# Density ... 6.18 g/cm3


# Pr2Y3Ho6Tm PBE optimized geometry
data_Pr2Y3Ho6Tm
_chemical_formula_sum 'Pr2 Y3 Ho6 Tm1'
_symmetry_space_group_name_H-M 'P 1'
_symmetry_Int_Tables_number 1
_cell_length_a 6.173
_cell_length_b 6.173
_cell_length_c 11.814
_cell_angle_alpha 94.98
_cell_angle_beta 94.98
_cell_angle_gamma 119.96
loop_
_symmetry_equiv_pos_as_xyz
'x,y,z'
loop_
_atom_site_label
_atom_site_fract_x
_atom_site_fract_y
_atom_site_fract_z
Ho1 0.583 0.915 0.748
Ho2 0.753 0.753 0.252
Ho3 0.417 0.085 0.252
Ho4 0.085 0.417 0.252
Ho5 0.247 0.247 0.748
Ho6 0.915 0.583 0.748
Y1 0.166 0.834 0.500
Y2 0.500 0.500 0.500
Y3 0.834 0.166 0.500
Pr1 0.333 0.667 0.000
Pr2 0.667 0.333 0.000
Tm1 0.000 0.000 0.000
# ΔH_f (0 K) ... 0.25 eV per formula unit
# VASP energy ... -5.053 eV per atom
# Total moment ... 0.000 μB/atom
# Density ... 7.38 g/cm3


# Pr6YHo2Tm3 PBE optimized geometry
data_Pr6YHo2Tm3
_chemical_formula_sum 'Pr6 Y1 Ho2 Tm3'
_symmetry_space_group_name_H-M 'P 1'
_symmetry_Int_Tables_number 1
_cell_length_a 6.287
_cell_length_b 6.287
_cell_length_c 11.826
_cell_angle_alpha 95.08
_cell_angle_beta 95.08
_cell_angle_gamma 119.99
loop_
_symmetry_equiv_pos_as_xyz
'x,y,z'
loop_
_atom_site_label
_atom_site_fract_x
_atom_site_fract_y
_atom_site_fract_z
Pr1 0.418 0.084 0.251
Pr2 0.250 0.250 0.748
Pr3 0.084 0.418 0.251
Pr4 0.916 0.582 0.749
Pr5 0.582 0.916 0.749
Pr6 0.750 0.750 0.252
Y1 0.000 0.000 0.000
Ho1 0.667 0.333 0.000
Ho2 0.333 0.667 0.000
Tm1 0.167 0.833 0.500
Tm2 0.833 0.167 0.500
Tm3 0.500 0.500 0.500
# ΔH_f (0 K) ... 0.17 eV per formula unit
# VASP energy ... -4.796 eV per atom
# Total moment ... 0.000 μB/atom
# Density ... 7.38 g/cm3


# Pr2Y2HoTm4 PBE optimized geometry
data_Pr2Y2HoTm4
_chemical_formula_sum 'Pr2 Y2 Ho1 Tm4'
_symmetry_space_group_name_H-M 'P 1'
_symmetry_Int_Tables_number 1
_cell_length_a 3.592
_cell_length_b 9.491
_cell_length_c 9.543
_cell_angle_alpha 115.25
_cell_angle_beta 90.00
_cell_angle_gamma 100.91
loop_
_symmetry_equiv_pos_as_xyz
'x,y,z'
loop_
_atom_site_label
_atom_site_fract_x
_atom_site_fract_y
_atom_site_fract_z
Y1 0.854 0.707 0.339
Y2 0.146 0.293 0.661
Tm1 0.185 0.370 0.338
Tm2 0.815 0.630 0.662
Tm3 0.520 0.039 0.335
Tm4 0.480 0.961 0.665
Pr1 0.335 0.670 0.998
Pr2 0.665 0.330 0.002
Ho1 0.000 0.000 0.000
# ΔH_f (0 K) ... 0.00 eV per formula unit
# VASP energy ... -4.995 eV per atom
# Total moment ... 0.000 μB/atom
# Density ... 7.50 g/cm3


# Pr4Y2Ho2Tm PBE optimized geometry
data_Pr4Y2Ho2Tm
_chemical_formula_sum 'Pr4 Y2 Ho2 Tm1'
_symmetry_space_group_name_H-M 'P 1'
_symmetry_Int_Tables_number 1
_cell_length_a 5.114
_cell_length_b 8.100
_cell_length_c 8.084
_cell_angle_alpha 107.51
_cell_angle_beta 90.00
_cell_angle_gamma 108.40
loop_
_symmetry_equiv_pos_as_xyz
'x,y,z'
loop_
_atom_site_label
_atom_site_fract_x
_atom_site_fract_y
_atom_site_fract_z
Pr1 0.554 0.108 0.332
Pr2 0.446 0.892 0.668
Pr3 0.777 0.554 0.667
Pr4 0.223 0.446 0.333
Y1 0.666 0.333 0.000
Y2 0.334 0.667 0.000
Ho1 0.889 0.778 0.330
Ho2 0.111 0.222 0.670
Tm1 0.000 0.000 0.000
# ΔH_f (0 K) ... 0.21 eV per formula unit
# VASP energy ... -5.051 eV per atom
# Total moment ... 0.000 μB/atom
# Density ... 6.84 g/cm3


# PrYHo2Tm5 PBE optimized geometry
data_PrYHo2Tm5
_chemical_formula_sum 'Pr2 Y2 Ho4 Tm10'
_symmetry_space_group_name_H-M 'P 1'
_symmetry_Int_Tables_number 1
_cell_length_a 8.936
_cell_length_b 8.936
_cell_length_c 9.594
_cell_angle_alpha 117.75
_cell_angle_beta 117.75
_cell_angle_gamma 90.00
loop_
_symmetry_equiv_pos_as_xyz
'x,y,z'
loop_
_atom_site_label
_atom_site_fract_x
_atom_site_fract_y
_atom_site_fract_z
Tm1 0.335 0.835 0.260
Tm2 0.425 0.335 0.260
Tm3 0.575 0.665 0.740
Tm4 0.165 0.075 0.740
Tm5 0.925 0.425 0.260
Tm6 0.500 0.500 0.000
Tm7 0.000 0.000 0.000
Tm8 0.075 0.575 0.740
Tm9 0.835 0.925 0.260
Tm10 0.665 0.165 0.740
Pr1 0.750 0.750 0.500
Pr2 0.250 0.250 0.500
Ho1 0.112 0.388 0.000
Ho2 0.888 0.612 0.000
Ho3 0.612 0.112 0.000
Ho4 0.388 0.888 0.000
Y1 0.750 0.250 0.500
Y2 0.250 0.750 0.500
# ΔH_f (0 K) ... 2.60 eV per formula unit
# VASP energy ... -4.461 eV per atom
# Total moment ... 0.000 μB/atom
# Density ... 8.09 g/cm3